NaSi2NiI: relaxed, PBE.

abc: 5.420 5.420 5.381
angles: 90.00 90.00 90.00
Space group P4/mmm (No. 123)
One atom of each set of equivalent atoms:
Na 0.000 0.000 0.000 x1
Si 0.000 0.500 0.500 x2
Ni 0.500 0.500 0.000 x1
I 0.000 0.000 0.500 x1

## Properties
Its crystal system is tetragonal. The calculation puts the final energy at -11.93 eV per formula unit.

---

TeAsIN2: relaxed, PBE.

abc: 4.040 4.040 7.590
angles: 90.00 90.00 90.00
Space group P4/mmm (No. 123)
One atom of each set of equivalent atoms:
Te 0.000 0.000 0.000 x1
As 0.500 0.500 0.500 x1
I 0.500 0.500 0.000 x1
N 0.000 0.500 0.500 x2

## Properties
Its crystal system is tetragonal. The energy relative to the lowest polymorph listed for this composition comes out at 0.25 eV/f.u. The calculation puts the final energy at -18.13 eV per formula unit.

---

MgReI2: relaxed, PBE.

abc: 6.231 6.231 12.780
angles: 90.00 90.00 90.00
Space group I-42d (No. 122)
One atom of each set of equivalent atoms:
Mg 0.000 0.000 0.000 x4
Re 0.000 0.000 0.500 x4
I 0.218 0.250 0.625 x8

## Properties
Its crystal system is tetragonal. The energy relative to the lowest polymorph listed for this composition comes out at 0.00 eV/f.u. The calculation puts the final energy at -13.40 eV per formula unit.

---

| no. | ΔE_f (raw) (meV/atom) |
| --- | --- |
| 1 | 1513 |
| 2 | 1572 |
| 3 | 936 |